# 1
This record from Alexandria via LeMat-Bulk describes an optimized crystal structure of MnCr3W2. The functional is PBE-GGA.

Calculated values
Energy in eV per atom: -10.63
Space-group type: R-3m
Theoretical density in Mg/m³: 12.3

Unit cell a=4.8081 b=4.8081 c=4.8081 alpha=59.56 beta=59.56 gamma=59.56
With the nearest neighbours (Å) after each atom.
Element x y z (fractional)
1 Mn 0.0000 0.0000 0.0000  6 Cr 2.40
2 Cr 0.0000 0.0000 0.5000  4 Cr 2.39, 2 Mn 2.40
3 Cr 0.0000 0.5000 0.0000  4 Cr 2.39, 2 Mn 2.40
4 Cr 0.5000 0.0000 0.0000  4 Cr 2.39, 2 Mn 2.40
5 W 0.3753 0.3753 0.3753  3 Mn 2.80, 9 Cr 2.81-2.82, 4 W 2.93-2.95
6 W 0.6247 0.6247 0.6247  3 Mn 2.80, 9 Cr 2.81-2.82, 4 W 2.93-2.95

***

# 2
This record from Alexandria via LeMat-Bulk describes an optimized crystal structure of Mn2CrW. The functional is PBE-GGA.

Calculated values
Energy in eV per atom: -10.14
Space-group type: P4/mmm
Theoretical density in Mg/m³: 11.5

Unit cell a=2.8194 b=2.8194 c=6.2553 alpha=90.00 beta=90.00 gamma=90.00
With the nearest neighbours (Å) after each atom.
Element x y z (fractional)
1 Mn 0.0000 0.0000 0.2170  4 Cr 2.41, 4 W 2.67
2 Mn 0.0000 0.0000 0.7830  4 Cr 2.41, 4 W 2.67
3 Cr 0.5000 0.5000 0.0000  8 Mn 2.41
4 W 0.5000 0.5000 0.5000  8 Mn 2.67, 4 W 2.82

***

# 3
This record from Alexandria via LeMat-Bulk describes an optimized crystal structure of Mn2CrW. The functional is PBE-GGA.

Calculated values
Energy in eV per atom: -10.14
Space-group type: Pmmm
Theoretical density in Mg/m³: 11.2

Unit cell a=3.0035 b=4.0867 c=4.1828 alpha=90.00 beta=90.00 gamma=90.00
With the nearest neighbours (Å) after each atom.
Element x y z (fractional)
1 Mn 0.0000 0.0000 0.0000  4 W 2.54, 4 Mn 2.57
2 Mn 0.5000 0.0000 0.5000  4 Cr 2.54, 4 Mn 2.57
3 Cr 0.0000 0.5000 0.5000  4 Mn 2.54, 4 W 2.57
4 W 0.5000 0.5000 0.0000  4 Mn 2.54, 4 Cr 2.57

***

# 4
This record from Alexandria via LeMat-Bulk describes an optimized crystal structure of MnCrW. The functional is PBE-GGA.

Calculated values
Energy in eV per atom: -10.43
Space-group type: Fmm2
Theoretical density in Mg/m³: 12.1
ΔE to the lowest computed polymorph in eV/f.u.: 0.47

Unit cell a=6.5076 b=6.3353 c=2.6161 alpha=81.97 beta=74.58 gamma=23.46
With the nearest neighbours (Å) after each atom.
Element x y z (fractional)
1 Mn 0.0000 0.0000 0.0000  2 Cr 2.41, 4 Mn 2.62, 2 W 2.62
2 Cr 0.3477 0.3477 0.6523  2 Mn 2.41, 4 Cr 2.62, 2 W 2.63
3 W 0.6731 0.6731 0.3269  4 W 2.62, 2 Mn 2.62, 2 Cr 2.63

***

# 5
This record from Alexandria via LeMat-Bulk describes an optimized crystal structure of Mn4CrW. The functional is PBE-GGA.

Calculated values
Energy in eV per atom: -9.84
Space-group type: F-43m
Theoretical density in Mg/m³: 10.6

Unit cell a=4.6616 b=4.6616 c=4.6616 alpha=60.00 beta=60.00 gamma=60.00
With the nearest neighbours (Å) after each atom.
Element x y z (fractional)
1 Mn 0.1244 0.1244 0.1244  6 Mn 2.32-2.34
2 Mn 0.1244 0.1244 0.6267  6 Mn 2.32-2.34
3 Mn 0.1244 0.6267 0.1244  6 Mn 2.32-2.34
4 Mn 0.6267 0.1244 0.1244  6 Mn 2.32-2.34
5 Cr 0.7500 0.7500 0.7500  12 Mn 2.73, 4 W 2.85
6 W 0.5000 0.5000 0.5000  12 Mn 2.73, 4 Cr 2.85

***

# 6
This record from Alexandria via LeMat-Bulk describes an optimized crystal structure of MnCrW. The functional is PBE-GGA.

Calculated values
Energy in eV per atom: -10.42
Space-group type: P3m1
Theoretical density in Mg/m³: 12.2
ΔE to the lowest computed polymorph in eV/f.u.: 0.49

Unit cell a=4.1766 b=4.1766 c=2.6096 alpha=90.00 beta=90.00 gamma=120.00
With the nearest neighbours (Å) after each atom.
Element x y z (fractional)
1 Mn 0.0000 0.0000 0.0000  3 Cr 2.56, 3 W 2.57, 2 Mn 2.61
2 Cr 0.6667 0.3333 0.6688  3 W 2.56, 3 Mn 2.56, 2 Cr 2.61
3 W 0.3333 0.6667 0.3446  3 Cr 2.56, 3 Mn 2.57, 2 W 2.61

***

# 7
This record from Alexandria via LeMat-Bulk describes an optimized crystal structure of MnCr4W. The functional is PBE-GGA.

Calculated values
Energy in eV per atom: -9.98
Space-group type: F-43m
Theoretical density in Mg/m³: 9.7

Unit cell a=4.7686 b=4.7686 c=4.7686 alpha=60.00 beta=60.00 gamma=60.00
With the nearest neighbours (Å) after each atom.
Element x y z (fractional)
1 Mn 0.0000 0.0000 0.0000  12 Cr 2.80, 4 W 2.92
2 Cr 0.3748 0.3748 0.3748  6 Cr 2.38-2.39
3 Cr 0.3748 0.3748 0.8756  6 Cr 2.38-2.39
4 Cr 0.3748 0.8756 0.3748  6 Cr 2.38-2.39
5 Cr 0.8756 0.3748 0.3748  6 Cr 2.38-2.39
6 W 0.7500 0.7500 0.7500  12 Cr 2.80, 4 Mn 2.92

***

# 8
This record from Alexandria via LeMat-Bulk describes an optimized crystal structure of Mn2CrW. The functional is PBE-GGA.

Calculated values
Energy in eV per atom: -9.89
Space-group type: R-3m
Theoretical density in Mg/m³: 10.9

Unit cell a=8.4436 b=8.4436 c=8.4436 alpha=18.44 beta=18.44 gamma=18.44
With the nearest neighbours (Å) after each atom.
Element x y z (fractional)
1 Mn 0.2428 0.2428 0.2428  3 Cr 2.46, 6 Mn 2.71, 3 W 2.74
2 Mn 0.7572 0.7572 0.7572  3 Cr 2.46, 6 Mn 2.71, 3 W 2.74
3 Cr 0.5000 0.5000 0.5000  6 Mn 2.46, 6 Cr 2.71
4 W 0.0000 0.0000 0.0000  6 W 2.71, 6 Mn 2.74

***

# 9
This record from Alexandria via LeMat-Bulk describes an optimized crystal structure of Mn2CrW. The functional is PBE-GGA.

Calculated values
Energy in eV per atom: -10.09
Space-group type: Imm2
Theoretical density in Mg/m³: 11.5

Unit cell a=4.8245 b=4.8245 c=4.8245 alpha=144.39 beta=129.44 gamma=63.37
With the nearest neighbours (Å) after each atom.
Element x y z (fractional)
1 Mn 0.0000 0.0000 0.0000  2 W 2.53, 4 Cr 2.53, 2 Mn 2.60
2 Mn 0.7390 0.2390 0.5000  2 Cr 2.47, 4 W 2.54, 2 Mn 2.60
3 Cr 0.4979 0.4979 0.0000  6 Mn 2.47-2.53, 2 W 2.51
4 W 0.2506 0.7506 0.5000  2 Cr 2.51, 6 Mn 2.53-2.54

***

# 10
This record from Alexandria via LeMat-Bulk describes an optimized crystal structure of Mn2CrW. The functional is PBE-GGA.

Calculated values
Energy in eV per atom: -10.09
Space-group type: C2/m
Theoretical density in Mg/m³: 11.2

Unit cell a=4.8103 b=4.8103 c=2.5966 alpha=100.07 beta=100.07 gamma=115.64
With the nearest neighbours (Å) after each atom.
Element x y z (fractional)
1 Mn 0.0000 0.5000 0.0000  2 Cr 2.53, 2 W 2.53, 4 Mn 2.56-2.60
2 Mn 0.5000 0.0000 0.0000  2 Cr 2.53, 2 W 2.53, 4 Mn 2.56-2.60
3 Cr 0.0000 0.0000 0.5000  4 Mn 2.53, 2 W 2.56, 2 Cr 2.60
4 W 0.5000 0.5000 0.5000  4 Mn 2.53, 2 Cr 2.56, 2 W 2.60

***

# 11
This record from Alexandria via LeMat-Bulk describes an optimized crystal structure of Mn2CrW. The functional is PBE-GGA.

Calculated values
Energy in eV per atom: -9.55
Space-group type: I-42d
Theoretical density in Mg/m³: 10.5

Unit cell a=5.2887 b=5.2887 c=5.2887 alpha=103.45 beta=103.45 gamma=122.34
With the nearest neighbours (Å) after each atom.
Element x y z (fractional)
1 Mn 0.0996 0.6250 0.9746  2 Cr 2.29, 2 W 2.52
2 Mn 0.3750 0.3496 0.4746  2 Cr 2.29, 2 W 2.52
3 Mn 0.6504 0.1250 0.0254  2 Cr 2.29, 2 W 2.52
4 Mn 0.8750 0.9004 0.5254  2 Cr 2.29, 2 W 2.52
5 Cr 0.0000 0.0000 0.0000  4 Mn 2.29, 2 W 2.55
6 Cr 0.7500 0.2500 0.5000  4 Mn 2.29, 2 W 2.55
7 W 0.2500 0.7500 0.5000  4 Mn 2.52, 2 Cr 2.55
8 W 0.5000 0.5000 0.0000  4 Mn 2.52, 2 Cr 2.55

***

# 12
This record from Alexandria via LeMat-Bulk describes an optimized crystal structure of MnCrW. The functional is PBE-GGA.

Calculated values
Energy in eV per atom: -9.88
Space-group type: F-43m
Theoretical density in Mg/m³: 10.7
ΔE to the lowest computed polymorph in eV/f.u.: 2.12

Unit cell a=3.9947 b=3.9947 c=3.9947 alpha=60.00 beta=60.00 gamma=60.00
With the nearest neighbours (Å) after each atom.
Element x y z (fractional)
1 Mn 0.0000 0.0000 0.0000  4 Cr 2.45, 4 W 2.45
2 Cr 0.2500 0.2500 0.2500  4 Mn 2.45
3 W 0.7500 0.7500 0.7500  4 Mn 2.45

***

# 13
This record from Alexandria via LeMat-Bulk describes an optimized crystal structure of Mn5CrW. The functional is PBE-GGA.

Calculated values
Energy in eV per atom: -9.68
Space-group type: Pnma
Theoretical density in Mg/m³: 10.1

Unit cell a=7.6279 b=4.5369 c=9.6650 alpha=90.00 beta=90.00 gamma=90.00
With the nearest neighbours (Å) after each atom.
Element x y z (fractional)
1 Mn 0.0510 0.2500 0.0761  1 Cr 2.25, 1 Mn 2.47
2 Mn 0.0724 0.5117 0.3085  6 Mn 2.16-2.40
3 Mn 0.0724 0.9883 0.3085  6 Mn 2.16-2.40
4 Mn 0.0964 0.7500 0.5229  5 Mn 2.33-2.39
5 Mn 0.1898 0.7500 0.7523  6 Mn 2.24-2.47, 2 Cr 2.50
6 Mn 0.3102 0.2500 0.2523  6 Mn 2.24-2.47, 2 Cr 2.50
7 Mn 0.4036 0.2500 0.0229  5 Mn 2.33-2.39
8 Mn 0.4276 0.0117 0.8085  6 Mn 2.16-2.40
9 Mn 0.4276 0.4883 0.8085  6 Mn 2.16-2.40
10 Mn 0.4490 0.7500 0.5761  1 Cr 2.25, 1 Mn 2.47
11 Mn 0.5510 0.2500 0.4239  1 Cr 2.25, 1 Mn 2.47
12 Mn 0.5724 0.5117 0.1915  6 Mn 2.16-2.40
13 Mn 0.5724 0.9883 0.1915  6 Mn 2.16-2.40
14 Mn 0.5964 0.7500 0.9771  5 Mn 2.33-2.39
15 Mn 0.6898 0.7500 0.7477  6 Mn 2.24-2.47, 2 Cr 2.50
16 Mn 0.8102 0.2500 0.2477  6 Mn 2.24-2.47, 2 Cr 2.50
17 Mn 0.9036 0.2500 0.4771  5 Mn 2.33-2.39
18 Mn 0.9276 0.0117 0.6915  6 Mn 2.16-2.40
19 Mn 0.9276 0.4883 0.6915  6 Mn 2.16-2.40
20 Mn 0.9490 0.7500 0.9239  1 Cr 2.25, 1 Mn 2.47
21 Cr 0.1350 0.2500 0.8529  7 Mn 2.25-2.52
22 Cr 0.3650 0.7500 0.3529  7 Mn 2.25-2.52
23 Cr 0.6350 0.2500 0.6471  7 Mn 2.25-2.52
24 Cr 0.8650 0.7500 0.1471  7 Mn 2.25-2.52
25 W 0.2417 0.7500 0.0627  8 Mn 2.60-2.91
26 W 0.2583 0.2500 0.5627  8 Mn 2.60-2.91
27 W 0.7417 0.7500 0.4373  8 Mn 2.60-2.91
28 W 0.7583 0.2500 0.9373  8 Mn 2.60-2.91

***

# 14
This record from Alexandria via LeMat-Bulk describes an optimized crystal structure of Mn2CrW. The functional is PBE-GGA.

Calculated values
Energy in eV per atom: -9.86
Space-group type: R3m
Theoretical density in Mg/m³: 11.2

Unit cell a=8.6529 b=8.6529 c=8.6529 alpha=17.50 beta=17.50 gamma=17.50
With the nearest neighbours (Å) after each atom.
Element x y z (fractional)
1 Mn 0.0000 0.0000 0.0000  9 Mn 2.44-2.63
2 Mn 0.2589 0.2589 0.2589  9 Mn 2.44-2.63, 3 Cr 2.49
3 Cr 0.5150 0.5150 0.5150  3 Mn 2.49, 6 Cr 2.63
4 W 0.7562 0.7562 0.7562  6 W 2.63, 3 Mn 2.75, 3 Cr 2.80